*A*
# BiSbS2Cl

A relaxed BiSbS2Cl crystal (PBE-GGA, Alexandria via LeMat-Bulk).

Structure (POSCAR):
```
BiSbS2Cl
1.0
5.180 0.000 0.000
0.000 5.180 0.000
0.000 0.000 5.052
Sb S Bi Cl
1 2 1 1
direct
0.000 0.000 0.000
0.000 0.500 0.000
0.500 0.000 0.000
0.500 0.500 0.500
0.000 0.000 0.500
```

Total moment (μB per atom): 0.073
Space group: P4/mmm (123)
N(E_F) (states/eV per cell): 3.478

*B*
# BiSbS2Cl

A relaxed BiSbS2Cl crystal (PBE-GGA, Alexandria via LeMat-Bulk).

Structure (POSCAR):
```
BiSbS2Cl
1.0
5.367 0.000 0.000
0.000 5.367 0.000
0.000 0.000 5.195
Sb S Bi Cl
1 2 1 1
direct
0.500 0.500 0.500
0.000 0.500 0.000
0.500 0.000 0.000
0.000 0.000 0.000
0.000 0.000 0.500
```

Total moment (μB per atom): 0.217
Space group: P4/mmm (123)
N(E_F) (states/eV per cell): 2.247

Which is more stable than every other structure shown? *A* is more stable than every other one.